# Rb3CrAu, relaxed, DFT PBEsol
# Magnetization (μB per atom): 1.199
# DOS(E_F) (states/eV/atom): 0.42
# E_form (kJ/mol of formula units): 423
data_Rb3CrAu
_chemical_formula_sum 'Rb3 Cr1 Au1'
_symmetry_space_group_name_H-M 'P 1'
_symmetry_Int_Tables_number 1
_symmetry_space_group_name_Hall 'P 1'
_cell_length_a 6.641
_cell_length_b 6.641
_cell_length_c 6.641
_cell_angle_alpha 90.00
_cell_angle_beta 90.00
_cell_angle_gamma 90.00
loop_
_atom_site_label
_atom_site_type_symbol
_atom_site_fract_x
_atom_site_fract_y
_atom_site_fract_z
Cr1 Cr 0.000 0.000 0.000
Au1 Au 0.500 0.500 0.500
Rb1 Rb 0.000 0.500 0.000
Rb2 Rb 0.000 0.000 0.500
Rb3 Rb 0.500 0.000 0.000


# CrRe2Au, relaxed, DFT PBEsol
# Magnetization (μB per atom): 0.048
# DOS(E_F) (states/eV/atom): 0.71
# E_form (kJ/mol of formula units): 155
data_CrRe2Au
_chemical_formula_sum 'Cr1 Re2 Au1'
_symmetry_space_group_name_H-M 'P 1'
_symmetry_Int_Tables_number 1
_symmetry_space_group_name_Hall 'P 1'
_cell_length_a 3.166
_cell_length_b 3.166
_cell_length_c 5.803
_cell_angle_alpha 90.00
_cell_angle_beta 90.00
_cell_angle_gamma 90.00
loop_
_atom_site_label
_atom_site_type_symbol
_atom_site_fract_x
_atom_site_fract_y
_atom_site_fract_z
Au1 Au 0.500 0.500 0.000
Cr1 Cr 0.500 0.500 0.500
Re1 Re 0.000 0.000 0.712
Re2 Re 0.000 0.000 0.288


# Cr2RhAu, relaxed, DFT PBEsol
# Magnetization (μB per atom): 0.214
# DOS(E_F) (states/eV/atom): 1.28
# E_form (kJ/mol of formula units): 63
data_Cr2RhAu
_chemical_formula_sum 'Cr2 Rh1 Au1'
_symmetry_space_group_name_H-M 'P 1'
_symmetry_Int_Tables_number 1
_symmetry_space_group_name_Hall 'P 1'
_cell_length_a 3.800
_cell_length_b 3.800
_cell_length_c 4.648
_cell_angle_alpha 114.13
_cell_angle_beta 114.13
_cell_angle_gamma 90.00
loop_
_atom_site_label
_atom_site_type_symbol
_atom_site_fract_x
_atom_site_fract_y
_atom_site_fract_z
Au1 Au 0.750 0.250 0.500
Cr1 Cr 0.000 0.000 0.000
Cr2 Cr 0.250 0.750 0.500
Rh1 Rh 0.500 0.500 0.000


# CrRuAu, relaxed, DFT PBEsol
# Magnetization (μB per atom): 0.765
# Excess energy over the best structure of this formula in the dataset (kcal/mol of atoms): 19.85
# DOS(E_F) (states/eV/atom): 0.99
# E_form (kJ/mol of formula units): 309
data_CrRuAu
_chemical_formula_sum 'Cr1 Ru1 Au1'
_symmetry_space_group_name_H-M 'P 1'
_symmetry_Int_Tables_number 1
_symmetry_space_group_name_Hall 'P 1'
_cell_length_a 4.226
_cell_length_b 4.226
_cell_length_c 4.226
_cell_angle_alpha 60.00
_cell_angle_beta 60.00
_cell_angle_gamma 60.00
loop_
_atom_site_label
_atom_site_type_symbol
_atom_site_fract_x
_atom_site_fract_y
_atom_site_fract_z
Au1 Au 0.250 0.250 0.250
Cr1 Cr 0.000 0.000 0.000
Ru1 Ru 0.500 0.500 0.500


Which formula does entry 3 have?
Cr2RhAu